{
  "formula": "Pm2Zn3Ge4Ir",
  "functional": "PBE",
  "state": "optimized geometry",
  "lattice": [[4.2438, 0.0000, 0.0000], [0.0000, 4.2438, 0.0000], [0.0000, 0.0000, 10.6004]],
  "species": ["Pm", "Pm", "Zn", "Zn", "Zn", "Ge", "Ge", "Ge", "Ge", "Ir"],
  "fractional_positions": [[0.5000, 0.0000, 0.2573], [0.0000, 0.5000, 0.7427], [0.0000, 0.0000, 0.5000], [0.5000, 0.0000, 0.8611], [0.0000, 0.5000, 0.1389], [0.5000, 0.5000, 0.0000], [0.0000, 0.0000, 0.0000], [0.5000, 0.0000, 0.6309], [0.0000, 0.5000, 0.3691], [0.5000, 0.5000, 0.5000]],
  "final_energy_ha_per_atom": -0.16601,
  "ef_ev_per_atom": -0.452,
  "sg": "P-4m2, No. 115"
}